[1]
Entry from Alexandria: Sm6Dy2Ho3Er after structural relaxation (PBE).

Structure (POSCAR):
```
Sm6Dy2Ho3Er
1.0
3.1024 -5.3712 0.0000
3.1024 5.3712 0.0000
-2.0598 0.0000 11.6146
Sm Dy Ho Er
6 2 3 1
Cartesian
0.0080 1.7892 8.7117 Sm
1.0330 0.0000 2.9013 Sm
0.0080 -1.7892 8.7117 Sm
4.1369 1.7892 2.9029 Sm
3.1120 0.0000 8.7133 Sm
4.1369 -1.7892 2.9029 Sm
2.0725 1.7902 5.8073 Dy
2.0725 -1.7902 5.8073 Dy
3.1024 3.5811 0.0000 Ho
3.1024 0.0000 0.0000 Ho
3.1024 -3.5811 0.0000 Ho
-1.0299 0.0000 5.8073 Er
```

SG: C2/m (12)
Energy in eV/cell: -55.6
Calculated volume in Å³ per cell: 387.1
Total moment in μB/f.u.: 0.0
Formation energy from the elements in meV/atom: 14

---

[2]
Entry from Alexandria: Th5Te4C after structural relaxation (PBE).

Structure (POSCAR):
```
Th5Te4C
1.0
-4.8665 4.8665 3.0669
4.8665 -4.8665 3.0669
4.8665 4.8665 -3.0669
Th Te C
5 4 1
Cartesian
0.0000 0.0000 0.0000 Th
5.7881 2.4977 0.0000 Th
2.4977 3.9449 0.0000 Th
2.3688 0.9216 3.0669 Th
-0.9216 2.3688 3.0669 Th
3.0846 0.7747 0.0000 Te
4.0918 -1.7819 3.0669 Te
0.7747 6.6484 0.0000 Te
1.7819 4.0918 3.0669 Te
0.0000 0.0000 3.0669 C
```

SG: I4/m (87)
Energy in eV/cell: -67.8
Calculated volume in Å³ per cell: 290.5
Total moment in μB/f.u.: 0.0
ΔE_f (raw) in eV per formula unit: -8.9

---

[3]
Entry from Alexandria: Li2PmSn after structural relaxation (PBE).

Structure (POSCAR):
```
Li2PmSn
1.0
4.4795 0.0000 0.0000
0.0000 4.4795 0.0000
0.0000 0.0000 4.9090
Li Pm Sn
2 1 1
Cartesian
0.0000 2.2397 0.0000 Li
2.2397 0.0000 0.0000 Li
0.0000 0.0000 2.4545 Pm
2.2397 2.2397 2.4545 Sn
```

SG: P4/mmm (123)
Energy in eV/cell: -13.9
Calculated volume in Å³ per cell: 98.5
Total moment in μB/f.u.: 0.0
Formation energy from the elements in meV/atom: -330

---

[4]
Entry from Alexandria: La5Pd5Au2 after structural relaxation (PBE).

Structure (POSCAR):
```
La5Pd5Au2
1.0
7.9901 -2.0994 0.0000
7.9901 2.0994 0.0000
-7.0588 0.0000 8.9309
La Pd Au
5 5 2
Cartesian
0.0000 0.0000 0.0000 La
-1.3896 0.0000 3.7413 La
-2.6432 0.0000 7.3740 La
11.5646 0.0000 1.5569 La
10.3111 0.0000 5.1896 La
2.0746 0.0000 3.0382 Pd
5.7619 0.0000 1.2325 Pd
4.4607 0.0000 4.4654 Pd
3.1595 0.0000 7.6983 Pd
6.8469 0.0000 5.8927 Pd
0.5232 0.0000 6.6352 Au
8.3983 0.0000 2.2956 Au
```

SG: C2/m (12)
Energy in eV/cell: -66.8
Calculated volume in Å³ per cell: 299.6
Total moment in μB/f.u.: 0.0
Formation energy from the elements in meV/atom: -805

---

Q: Which of these has the lowest calculated volume?
A: Li2PmSn

---

Q: Which value of total moment does entry 1 give?
A: 0.0 μB/f.u.